DFT (PBE) results for Sm12Y5Sc3 after structural relaxation.

Values from the calculation:
ΔH_f (0 K) in meV per atom: 1011
Total magnetization in μB per formula unit: 0.00
Space group: Ia-3d

Lattice parameters (Å, degrees): 16.117 16.117 16.117 109.47 109.47 109.47
Fractional coordinates of all 80 atoms:
1 Sm 0.058 0.638 0.404
2 Sm 0.058 0.921 0.654
3 Sm 0.079 0.234 0.138
4 Sm 0.079 0.346 0.942
5 Sm 0.096 0.734 0.654
6 Sm 0.096 0.862 0.442
7 Sm 0.138 0.079 0.234
8 Sm 0.138 0.558 0.904
9 Sm 0.154 0.234 0.596
10 Sm 0.154 0.421 0.558
11 Sm 0.234 0.138 0.079
12 Sm 0.234 0.596 0.154
13 Sm 0.266 0.346 0.904
14 Sm 0.266 0.421 0.362
15 Sm 0.346 0.904 0.266
16 Sm 0.346 0.942 0.079
17 Sm 0.362 0.266 0.421
18 Sm 0.362 0.596 0.942
19 Sm 0.404 0.058 0.638
20 Sm 0.404 0.846 0.766
21 Sm 0.421 0.362 0.266
22 Sm 0.421 0.558 0.154
23 Sm 0.442 0.096 0.862
24 Sm 0.442 0.846 0.579
25 Sm 0.558 0.154 0.421
26 Sm 0.558 0.904 0.138
27 Sm 0.579 0.442 0.846
28 Sm 0.579 0.638 0.734
29 Sm 0.596 0.154 0.234
30 Sm 0.596 0.942 0.362
31 Sm 0.638 0.404 0.058
32 Sm 0.638 0.734 0.579
33 Sm 0.654 0.058 0.921
34 Sm 0.654 0.096 0.734
35 Sm 0.734 0.579 0.638
36 Sm 0.734 0.654 0.096
37 Sm 0.766 0.404 0.846
38 Sm 0.766 0.862 0.921
39 Sm 0.846 0.579 0.442
40 Sm 0.846 0.766 0.404
41 Sm 0.862 0.442 0.096
42 Sm 0.862 0.921 0.766
43 Sm 0.904 0.138 0.558
44 Sm 0.904 0.266 0.346
45 Sm 0.921 0.654 0.058
46 Sm 0.921 0.766 0.862
47 Sm 0.942 0.079 0.346
48 Sm 0.942 0.362 0.596
49 Y 0.000 0.000 0.000
50 Y 0.000 0.000 0.500
51 Y 0.000 0.500 0.000
52 Y 0.000 0.500 0.500
53 Y 0.125 0.750 0.875
54 Y 0.125 0.875 0.250
55 Y 0.250 0.125 0.875
56 Y 0.250 0.625 0.375
57 Y 0.375 0.250 0.625
58 Y 0.375 0.625 0.750
59 Y 0.500 0.000 0.000
60 Y 0.500 0.000 0.500
61 Y 0.500 0.500 0.000
62 Y 0.500 0.500 0.500
63 Y 0.625 0.375 0.250
64 Y 0.625 0.750 0.375
65 Y 0.750 0.375 0.625
66 Y 0.750 0.875 0.125
67 Y 0.875 0.125 0.750
68 Y 0.875 0.250 0.125
69 Sc 0.125 0.250 0.375
70 Sc 0.125 0.375 0.750
71 Sc 0.250 0.375 0.125
72 Sc 0.250 0.875 0.625
73 Sc 0.375 0.125 0.250
74 Sc 0.375 0.750 0.125
75 Sc 0.625 0.250 0.875
76 Sc 0.625 0.875 0.750
77 Sc 0.750 0.125 0.375
78 Sc 0.750 0.625 0.875
79 Sc 0.875 0.625 0.250
80 Sc 0.875 0.750 0.625



DFT (PBE) results for Sm5Y4Sc4 after structural relaxation.

Values from the calculation:
ΔH_f (0 K) in meV per atom: 49
Total magnetization in μB per formula unit: 0.00
Space group: I4/m

Lattice parameters (Å, degrees): 9.255 9.255 9.255 94.10 94.10 148.97
Fractional coordinates of all 13 atoms:
1 Sm 0.000 0.000 0.000
2 Sm 0.308 0.544 0.852
3 Sm 0.456 0.308 0.764
4 Sm 0.544 0.692 0.236
5 Sm 0.692 0.456 0.148
6 Y 0.079 0.382 0.461
7 Y 0.382 0.921 0.303
8 Y 0.618 0.079 0.697
9 Y 0.921 0.618 0.539
10 Sc 0.155 0.767 0.922
11 Sc 0.233 0.155 0.388
12 Sc 0.767 0.845 0.612
13 Sc 0.845 0.233 0.078



DFT (PBE) results for Sm9YSc2 after structural relaxation.

Values from the calculation:
ΔH_f (0 K) in meV per atom: 33
Total magnetization in μB per formula unit: 0.00
Space group: P4/mmm

Lattice parameters (Å, degrees): 5.036 5.036 15.106 90.00 90.00 90.00
Fractional coordinates of all 12 atoms:
1 Sm 0.000 0.000 0.000
2 Sm 0.000 0.000 0.336
3 Sm 0.000 0.000 0.664
4 Sm 0.000 0.500 0.172
5 Sm 0.000 0.500 0.500
6 Sm 0.000 0.500 0.828
7 Sm 0.500 0.000 0.172
8 Sm 0.500 0.000 0.500
9 Sm 0.500 0.000 0.828
10 Y 0.500 0.500 0.000
11 Sc 0.500 0.500 0.335
12 Sc 0.500 0.500 0.665